Material: Be2ZnAs
Method: DFT, SCAN
State: single point on PBEsol structure

## Properties
**Magnetization**: 0.00 μB/cell
**Calculated formation energy**: 356 meV per atom
**DOS(E_F)**: 3.1 states/eV/cell
**Energy**: -123.0 eV/cell

Cell: 2.8516 2.8516 21.7074 Å, 90.00 90.00 120.00°
Space group R-3m (No. 166, hexagonal axes)
One atom of each set of equivalent atoms:
Be 0.0000 0.0000 0.2502 [6 per cell]
Zn 0.0000 0.0000 0.0000 [3 per cell]
As 0.0000 0.0000 0.5000 [3 per cell]